(1)
First-principles (PBE) data for TaTcB2 after structural relaxation, as listed in the Alexandria database.

Output
Crystal system: tetragonal
ρ (g/cm³): 8.68
Energy relative to the lowest polymorph listed for this composition (eV per atom): 1.187

Geometry as CIF:
```
data_TaTcB2
_chemical_formula_sum 'Ta4 Tc4 B8'
_space_group_name_H-M_alt 'I -4 2 d'
_space_group_IT_number 122
_space_group_name_Hall 'I -4 2bw'
_cell_length_a 4.734
_cell_length_b 4.734
_cell_length_c 10.259
_cell_angle_alpha 90.00
_cell_angle_beta 90.00
_cell_angle_gamma 90.00
loop_
_atom_site_label
_atom_site_type_symbol
_atom_site_fract_x
_atom_site_fract_y
_atom_site_fract_z
Ta1 Ta 0.000 0.000 0.000
Tc1 Tc 0.000 0.000 0.500
B1 B 0.216 0.250 0.625
```

=====

(2)
First-principles (PBE) data for Ta3TcB after structural relaxation, as listed in the Alexandria database.

Output
Crystal system: cubic
ρ (g/cm³): 13.35
Energy relative to the lowest polymorph listed for this composition (eV per atom): 0.000

Geometry as CIF:
```
data_Ta3TcB
_chemical_formula_sum 'Ta3 Tc1 B1'
_space_group_name_H-M_alt 'P m -3 m'
_space_group_IT_number 221
_space_group_name_Hall '-P 4 2 3'
_cell_length_a 4.328
_cell_length_b 4.328
_cell_length_c 4.328
_cell_angle_alpha 90.00
_cell_angle_beta 90.00
_cell_angle_gamma 90.00
loop_
_atom_site_label
_atom_site_type_symbol
_atom_site_fract_x
_atom_site_fract_y
_atom_site_fract_z
Ta1 Ta 0.000 0.000 0.500
Tc1 Tc 0.500 0.500 0.500
B1 B 0.000 0.000 0.000
```

=====

> ρ of number 1 (TaTcB2)?

8.68 g/cm³

=====

> Which value of energy relative to the lowest polymorph listed for this composition does entry 1 give?

1.187 eV per atom

=====

> Which formula does entry 2 have?

Ta3TcB

=====

> Look up the energy relative to the lowest polymorph listed for this composition of the first one.

1.187 eV per atom